No. 1
## CsSnPb2 (PBE-GGA)

Data for a geometry-optimized CsSnPb2 structure.

The value obtained for the size of the total moment is 0.0 μB per formula unit. For the formation energy, the calculation gives 0.066 eV per atom.

It has space group I-42d (No. 122), with a = 6.0210 Å, b = 6.0210 Å, c = 21.0522 Å, α = 90.00°, β = 90.00° and γ = 90.00°. Symmetry generates all atoms from Cs at (0.0000, 0.0000, 0.0000), Sn at (0.0000, 0.0000, 0.5000) and Pb at (0.0911, 0.2500, 0.6250).


No. 2
## NaMnAgSe2 (PBE-GGA)

Data for a geometry-optimized NaMnAgSe2 structure.

The value obtained for the size of the total moment is 5.0 μB per formula unit. The formation energy from raw total energies comes out at -501 meV/atom.

It has space group P2/c (No. 13), with a = 6.8242 Å, b = 5.3759 Å, c = 6.8329 Å, α = 90.00°, β = 100.28° and γ = 90.00°. Symmetry generates all atoms from Na at (0.0000, 0.1508, 0.2500), Mn at (0.5000, 0.4990, 0.7500), Ag at (0.5000, 0.0000, 0.0000) and Se at (0.2401, 0.3280, 0.9551).